VASP calculation (PBE) on an optimized crystal structure of KTl.

formation energy from the elements: -119 meV/atom

```
data_KTl
_chemical_formula_sum 'K24 Tl24'
_cell_length_a 15.723
_cell_length_b 15.439
_cell_length_c 8.120
_cell_angle_alpha 90.00
_cell_angle_beta 90.00
_cell_angle_gamma 90.00
_symmetry_space_group_name_H-M 'C m c e'
_symmetry_Int_Tables_number 64
_symmetry_space_group_name_Hall '-C 2ac 2'
loop_
_atom_site_label
_atom_site_type_symbol
_atom_site_fract_x
_atom_site_fract_y
_atom_site_fract_z
_atom_site_occupancy
K1 K 0.000 0.202 0.073 1
K2 K 0.179 0.000 0.000 1
K3 K 0.250 0.222 0.750 1
Tl1 Tl 0.000 0.041 0.717 1
Tl2 Tl 0.116 0.107 0.428 1
```



VASP calculation (PBE) on an optimized crystal structure of KTl.

formation energy from the elements: -41 meV/atom

```
data_KTl
_chemical_formula_sum 'K2 Tl2'
_cell_length_a 5.637
_cell_length_b 3.947
_cell_length_c 7.018
_cell_angle_alpha 90.00
_cell_angle_beta 90.00
_cell_angle_gamma 90.00
_symmetry_space_group_name_H-M 'P m m a'
_symmetry_Int_Tables_number 51
loop_
_symmetry_equiv_pos_as_xyz
'x,y,z'
'-x,-y,-z'
'-x+1/2,-y,z'
'x+1/2,y,-z'
'x+1/2,-y,-z'
'-x+1/2,y,z'
'-x,y,-z'
'x,-y,z'
loop_
_atom_site_label
_atom_site_type_symbol
_atom_site_fract_x
_atom_site_fract_y
_atom_site_fract_z
_atom_site_occupancy
K1 K 0.250 0.000 0.179 1
Tl1 Tl 0.250 0.500 0.618 1
```



VASP calculation (PBE) on an optimized crystal structure of KTl5.

formation energy from the elements: -21 meV/atom
E above lowest polymorph: 0.17 eV/f.u.

```
data_KTl5
_chemical_formula_sum 'K2 Tl10'
_cell_length_a 5.622
_cell_length_b 3.504
_cell_length_c 19.740
_cell_angle_alpha 90.00
_cell_angle_beta 90.00
_cell_angle_gamma 90.00
_symmetry_space_group_name_H-M 'A m m 2'
_symmetry_Int_Tables_number 38
loop_
_symmetry_equiv_pos_as_xyz
'x,y,z'
'-x,-y,z'
'-x,y,z'
'x,-y,z'
'x,y+1/2,z+1/2'
'-x,-y+1/2,z+1/2'
'-x,y+1/2,z+1/2'
'x,-y+1/2,z+1/2'
loop_
_atom_site_label
_atom_site_type_symbol
_atom_site_fract_x
_atom_site_fract_y
_atom_site_fract_z
_atom_site_occupancy
K1 K 0.000 0.000 0.000 1
Tl1 Tl 0.000 0.000 0.327 1
Tl2 Tl 0.000 0.000 0.675 1
Tl3 Tl 0.500 0.000 0.237 1
Tl4 Tl 0.500 0.000 0.409 1
Tl5 Tl 0.500 0.000 0.587 1
```



VASP calculation (PBE) on an optimized crystal structure of KTl.

formation energy from the elements: 43 meV/atom

```
data_KTl
_chemical_formula_sum 'K1 Tl1'
_cell_length_a 3.8897
_cell_length_b 3.8897
_cell_length_c 5.9833
_cell_angle_alpha 90.00
_cell_angle_beta 90.00
_cell_angle_gamma 120.00
_symmetry_space_group_name_H-M 'P -6 m 2'
_symmetry_Int_Tables_number 187
_symmetry_space_group_name_Hall 'P -6 2'
loop_
_atom_site_label
_atom_site_type_symbol
_atom_site_fract_x
_atom_site_fract_y
_atom_site_fract_z
_atom_site_occupancy
K1 K 0.0000 0.0000 0.0000 1
Tl1 Tl 0.6667 0.3333 0.5000 1
```



VASP calculation (PBE) on an optimized crystal structure of KTl.

formation energy from the elements: 73 meV/atom

```
data_KTl
_chemical_formula_sum 'K4 Tl4'
_cell_length_a 7.036
_cell_length_b 7.036
_cell_length_c 7.174
_cell_angle_alpha 90.00
_cell_angle_beta 90.00
_cell_angle_gamma 90.00
_symmetry_space_group_name_H-M 'P 42/m n m'
_symmetry_Int_Tables_number 136
_symmetry_space_group_name_Hall '-P 4n 2n'
loop_
_atom_site_label
_atom_site_type_symbol
_atom_site_fract_x
_atom_site_fract_y
_atom_site_fract_z
_atom_site_occupancy
K1 K 0.181 0.181 0.000 1
Tl1 Tl 0.161 0.161 0.500 1
```



VASP calculation (PBE) on an optimized crystal structure of K7Tl.

formation energy from the elements: 20 meV/atom

```
data_K7Tl
_chemical_formula_sum 'K21 Tl3'
_cell_length_a 6.9519
_cell_length_b 6.9519
_cell_length_c 34.6483
_cell_angle_alpha 90.00
_cell_angle_beta 90.00
_cell_angle_gamma 120.00
_symmetry_space_group_name_H-M 'R -3 m'
_symmetry_Int_Tables_number 166
_symmetry_space_group_name_Hall '-R 3 2"'
loop_
_atom_site_label
_atom_site_type_symbol
_atom_site_fract_x
_atom_site_fract_y
_atom_site_fract_z
_atom_site_occupancy
K1 K 0.0000 0.0000 0.0000 1
K2 K 0.0000 0.0000 0.1351 1
K3 K 0.0000 0.0000 0.2521 1
K4 K 0.0000 0.0000 0.3885 1
Tl1 Tl 0.0000 0.0000 0.5000 1
```



VASP calculation (PBE) on an optimized crystal structure of KTl.

formation energy from the elements: -67 meV/atom

```
data_KTl
_chemical_formula_sum 'K6 Tl6'
_cell_length_a 10.3270
_cell_length_b 10.3270
_cell_length_c 5.6264
_cell_angle_alpha 90.00
_cell_angle_beta 90.00
_cell_angle_gamma 120.00
_symmetry_space_group_name_H-M 'P 63/m m c'
_symmetry_Int_Tables_number 194
_symmetry_space_group_name_Hall '-P 6c 2c'
loop_
_atom_site_label
_atom_site_type_symbol
_atom_site_fract_x
_atom_site_fract_y
_atom_site_fract_z
_atom_site_occupancy
K1 K 0.1796 0.3593 0.2500 1
Tl1 Tl 0.1229 0.5614 0.7500 1
```



VASP calculation (PBE) on an optimized crystal structure of K2Tl17.

formation energy from the elements: -20 meV/atom

```
data_K2Tl17
_chemical_formula_sum 'K6 Tl51'
_cell_length_a 11.3360
_cell_length_b 11.3360
_cell_length_c 17.1387
_cell_angle_alpha 90.00
_cell_angle_beta 90.00
_cell_angle_gamma 120.00
_symmetry_space_group_name_H-M 'R -3 m'
_symmetry_Int_Tables_number 166
_symmetry_space_group_name_Hall '-R 3 2"'
loop_
_atom_site_label
_atom_site_type_symbol
_atom_site_fract_x
_atom_site_fract_y
_atom_site_fract_z
_atom_site_occupancy
K1 K 0.0000 0.0000 0.1649 1
Tl1 Tl 0.0000 0.0000 0.4011 1
Tl2 Tl 0.0000 0.2940 0.5000 1
Tl3 Tl 0.0000 0.5000 0.0000 1
Tl4 Tl 0.0069 0.5035 0.6420 1
```



VASP calculation (PBE) on an optimized crystal structure of K12Tl.

formation energy from the elements: 15 meV/atom

```
data_K12Tl
_chemical_formula_sum 'K24 Tl2'
_cell_length_a 11.947
_cell_length_b 11.947
_cell_length_c 11.947
_cell_angle_alpha 90.00
_cell_angle_beta 90.00
_cell_angle_gamma 90.00
_symmetry_space_group_name_H-M 'I m -3'
_symmetry_Int_Tables_number 204
_symmetry_space_group_name_Hall '-I 2 2 3'
loop_
_atom_site_label
_atom_site_type_symbol
_atom_site_fract_x
_atom_site_fract_y
_atom_site_fract_z
_atom_site_occupancy
K1 K 0.000 0.174 0.303 1
Tl1 Tl 0.000 0.000 0.000 1
```



VASP calculation (PBE) on an optimized crystal structure of K2Tl5.

formation energy from the elements: -78 meV/atom

```
data_K2Tl5
_chemical_formula_sum 'K4 Tl10'
_cell_length_a 12.796
_cell_length_b 5.125
_cell_length_c 8.528
_cell_angle_alpha 90.00
_cell_angle_beta 115.43
_cell_angle_gamma 90.00
_symmetry_space_group_name_H-M 'C 1 2/m 1'
_symmetry_Int_Tables_number 12
loop_
_symmetry_equiv_pos_as_xyz
'x,y,z'
'-x,-y,-z'
'-x,y,-z'
'x,-y,z'
'x+1/2,y+1/2,z'
'-x+1/2,-y+1/2,-z'
'-x+1/2,y+1/2,-z'
'x+1/2,-y+1/2,z'
loop_
_atom_site_label
_atom_site_type_symbol
_atom_site_fract_x
_atom_site_fract_y
_atom_site_fract_z
_atom_site_occupancy
K1 K 0.143 0.000 0.273 1
Tl1 Tl 0.000 0.500 0.500 1
Tl2 Tl 0.113 0.500 0.938 1
Tl3 Tl 0.147 0.000 0.720 1
```



VASP calculation (PBE) on an optimized crystal structure of KTl.

formation energy from the elements: 143 meV/atom

```
data_KTl
_chemical_formula_sum 'K4 Tl4'
_cell_length_a 7.161
_cell_length_b 7.161
_cell_length_c 7.161
_cell_angle_alpha 90.00
_cell_angle_beta 90.00
_cell_angle_gamma 90.00
_symmetry_space_group_name_H-M 'F m -3 m'
_symmetry_Int_Tables_number 225
_symmetry_space_group_name_Hall '-F 4 2 3'
loop_
_atom_site_label
_atom_site_type_symbol
_atom_site_fract_x
_atom_site_fract_y
_atom_site_fract_z
_atom_site_occupancy
K1 K 0.000 0.000 0.000 1
Tl1 Tl 0.000 0.000 0.500 1
```



Q: Which V values were calculated for the entries above? A: 1971.1 156.1 388.9 78.4 355.2 1450.2 519.7 1907.3 1705.1 505.0 367.2, in Å³ per cell.